Model i:
Entry from the Alexandria database: a relaxed structure of SiHg3 (PBE).

Results
Its magnetic moment is 0.000 μB per cell.

CIF file:
```
data_SiHg3
_chemical_formula_sum 'Si2 Hg6'
_symmetry_space_group_name_H-M 'I m m m'
_symmetry_Int_Tables_number 71
_symmetry_space_group_name_Hall '-I 2 2'
_cell_length_a 3.252
_cell_length_b 4.565
_cell_length_c 13.013
_cell_angle_alpha 90.00
_cell_angle_beta 90.00
_cell_angle_gamma 90.00
loop_
_atom_site_label
_atom_site_type_symbol
_atom_site_fract_x
_atom_site_fract_y
_atom_site_fract_z
Si1 Si 0.000 0.000 0.000
Hg1 Hg 0.000 0.000 0.500
Hg2 Hg 0.000 0.500 0.306
```

***

Model ii:
Entry from the Alexandria database: a relaxed structure of SiHg3 (PBE).

Results
Its magnetic moment is 0.000 μB per cell.

CIF file:
```
data_SiHg3
_chemical_formula_sum 'Si2 Hg6'
_symmetry_space_group_name_H-M 'P m -3 n'
_symmetry_Int_Tables_number 223
_symmetry_space_group_name_Hall '-P 4n 2 3'
_cell_length_a 5.706
_cell_length_b 5.706
_cell_length_c 5.706
_cell_angle_alpha 90.00
_cell_angle_beta 90.00
_cell_angle_gamma 90.00
loop_
_atom_site_label
_atom_site_type_symbol
_atom_site_fract_x
_atom_site_fract_y
_atom_site_fract_z
Si1 Si 0.000 0.000 0.000
Hg1 Hg 0.000 0.250 0.500
```

***

Relative to the most stable structure, the computed energies are model i 0; model ii 122, all in meV/atom.